A plane-wave DFT calculation with PBEsol was carried out for a relaxed structure of BiPbClO2.

Geometry as CIF:
```
data_BiPbClO2
_space_group_name_H-M_alt 'C m c m'
_space_group_IT_number 63
_space_group_name_Hall '-C 2c 2'
_cell_length_a 5.612
_cell_length_b 12.230
_cell_length_c 5.569
_cell_angle_alpha 90.00
_cell_angle_beta 90.00
_cell_angle_gamma 90.00
loop_
_atom_site_label
_atom_site_fract_x
_atom_site_fract_y
_atom_site_fract_z
Bi1 0.000 0.092 0.250
Pb1 0.000 0.391 0.250
Cl1 0.000 0.254 0.750
O1 0.239 0.000 0.000
```

Summary:
As for the raw formation energy: -1.2847 eV/atom. As for the uncorrected energy: -5.443 eV/atom.


A plane-wave DFT calculation with PBEsol was carried out for a relaxed structure of Sr3BiCl3O3.

Geometry as CIF:
```
data_Sr3BiCl3O3
_space_group_name_H-M_alt 'P n m a'
_space_group_IT_number 62
_space_group_name_Hall '-P 2ac 2n'
_cell_length_a 6.647
_cell_length_b 11.416
_cell_length_c 11.561
_cell_angle_alpha 90.00
_cell_angle_beta 90.00
_cell_angle_gamma 90.00
loop_
_atom_site_label
_atom_site_fract_x
_atom_site_fract_y
_atom_site_fract_z
Sr1 0.159 0.250 0.034
Sr2 0.172 0.070 0.391
Bi1 0.102 0.250 0.631
Cl1 0.077 0.750 0.731
Cl2 0.102 0.507 0.144
O1 0.077 0.623 0.451
O2 0.201 0.750 0.991
```

Summary:
As for the raw formation energy: -2.3622 eV/atom. As for the uncorrected energy: -5.520 eV/atom.


A plane-wave DFT calculation with PBEsol was carried out for a relaxed structure of SrBiClO2.

Geometry as CIF:
```
data_SrBiClO2
_space_group_name_H-M_alt 'C m c m'
_space_group_IT_number 63
_space_group_name_Hall '-C 2c 2'
_cell_length_a 5.700
_cell_length_b 12.298
_cell_length_c 5.599
_cell_angle_alpha 90.00
_cell_angle_beta 90.00
_cell_angle_gamma 90.00
loop_
_atom_site_label
_atom_site_fract_x
_atom_site_fract_y
_atom_site_fract_z
Sr1 0.000 0.110 0.250
Bi1 0.000 0.416 0.250
Cl1 0.000 0.244 0.750
O1 0.236 0.500 0.000
```

Summary:
As for the raw formation energy: -2.0377 eV/atom. As for the uncorrected energy: -5.764 eV/atom.


A plane-wave DFT calculation with PBEsol was carried out for a relaxed structure of TaBi4ClO8.

Geometry as CIF:
```
data_TaBi4ClO8
_space_group_name_H-M_alt 'P 4/m m m'
_space_group_IT_number 123
_space_group_name_Hall '-P 4 2'
_cell_length_a 3.874
_cell_length_b 3.874
_cell_length_c 13.853
_cell_angle_alpha 90.00
_cell_angle_beta 90.00
_cell_angle_gamma 90.00
loop_
_atom_site_label
_atom_site_fract_x
_atom_site_fract_y
_atom_site_fract_z
Ta1 0.000 0.000 0.000
Bi1 0.000 0.000 0.362
Bi2 0.500 0.500 0.182
Cl1 0.500 0.500 0.500
O1 0.000 0.000 0.144
O2 0.000 0.500 0.000
O3 0.000 0.500 0.284
```

Summary:
As for the raw formation energy: -1.6527 eV/atom. As for the uncorrected energy: -6.917 eV/atom. The distance to the lowest polymorph of the same formula is 58 meV/atom.


A plane-wave DFT calculation with PBEsol was carried out for a relaxed structure of TaBi4ClO8.

Geometry as CIF:
```
data_TaBi4ClO8
_space_group_name_H-M_alt 'P b c n'
_space_group_IT_number 60
_space_group_name_Hall '-P 2n 2ab'
_cell_length_a 5.465
_cell_length_b 5.500
_cell_length_c 28.622
_cell_angle_alpha 90.00
_cell_angle_beta 90.00
_cell_angle_gamma 90.00
loop_
_atom_site_label
_atom_site_fract_x
_atom_site_fract_y
_atom_site_fract_z
Ta1 0.000 0.020 0.250
Bi1 0.008 0.010 0.567
Bi2 0.020 0.452 0.343
Cl1 0.000 0.500 0.000
O1 0.096 0.066 0.316
O2 0.245 0.296 0.235
O3 0.247 0.241 0.106
O4 0.248 0.252 0.896
```

Summary:
As for the raw formation energy: -1.7109 eV/atom. As for the uncorrected energy: -6.975 eV/atom. The distance to the lowest polymorph of the same formula is 0 meV/atom.


A plane-wave DFT calculation with PBEsol was carried out for a relaxed structure of TiBi8WCl2O16.

Geometry as CIF:
```
data_TiBi8WCl2O16
_space_group_name_H-M_alt 'I m m 2'
_space_group_IT_number 44
_space_group_name_Hall 'I 2 -2'
_cell_length_a 5.429
_cell_length_b 27.903
_cell_length_c 5.527
_cell_angle_alpha 90.00
_cell_angle_beta 90.00
_cell_angle_gamma 90.00
loop_
_atom_site_label
_atom_site_fract_x
_atom_site_fract_y
_atom_site_fract_z
Ti1 0.000 0.000 0.000
Bi1 0.000 0.089 0.440
Bi2 0.000 0.181 0.002
Bi3 0.000 0.318 0.005
Bi4 0.000 0.410 0.452
W1 0.000 0.500 0.013
Cl1 0.000 0.250 0.513
O1 0.000 0.069 0.057
O2 0.000 0.431 0.054
O3 0.241 0.500 0.289
O4 0.247 0.000 0.296
O5 0.247 0.357 0.260
O6 0.250 0.142 0.259
```

Summary:
As for the raw formation energy: -1.6060 eV/atom. As for the uncorrected energy: -6.764 eV/atom.


A plane-wave DFT calculation with PBEsol was carried out for a relaxed structure of BiW2Cl8O2.

Geometry as CIF:
```
data_BiW2Cl8O2
_space_group_name_H-M_alt 'P -1'
_space_group_IT_number 2
_space_group_name_Hall '-P 1'
_cell_length_a 7.550
_cell_length_b 8.329
_cell_length_c 10.642
_cell_angle_alpha 92.65
_cell_angle_beta 100.35
_cell_angle_gamma 91.48
loop_
_atom_site_label
_atom_site_fract_x
_atom_site_fract_y
_atom_site_fract_z
Bi1 0.129 0.187 0.432
W1 0.215 0.607 0.850
W2 0.285 0.398 0.149
Cl1 0.095 0.871 0.398
Cl2 0.146 0.528 0.632
Cl3 0.199 0.876 0.800
Cl4 0.231 0.328 0.919
Cl5 0.281 0.127 0.207
Cl6 0.282 0.673 0.081
Cl7 0.328 0.478 0.365
Cl8 0.397 0.156 0.597
O1 0.033 0.401 0.141
O2 0.465 0.605 0.850
```

Summary:
As for the raw formation energy: -1.1055 eV/atom. As for the uncorrected energy: -5.603 eV/atom.


A plane-wave DFT calculation with PBEsol was carried out for a relaxed structure of BiOs3Cl.

Geometry as CIF:
```
data_BiOs3Cl
_space_group_name_H-M_alt 'P m -3 m'
_space_group_IT_number 221
_space_group_name_Hall '-P 4 2 3'
_cell_length_a 4.439
_cell_length_b 4.439
_cell_length_c 4.439
_cell_angle_alpha 90.00
_cell_angle_beta 90.00
_cell_angle_gamma 90.00
loop_
_atom_site_label
_atom_site_fract_x
_atom_site_fract_y
_atom_site_fract_z
Bi1 0.000 0.000 0.000
Os1 0.000 0.500 0.500
Cl1 0.500 0.500 0.500
```

Summary:
As for the raw formation energy: 1.8956 eV/atom. As for the uncorrected energy: -6.693 eV/atom.


A plane-wave DFT calculation with PBEsol was carried out for a relaxed structure of Zr2BiOsCl.

Geometry as CIF:
```
data_Zr2BiOsCl
_space_group_name_H-M_alt 'P 4/m m m'
_space_group_IT_number 123
_space_group_name_Hall '-P 4 2'
_cell_length_a 5.122
_cell_length_b 5.122
_cell_length_c 4.476
_cell_angle_alpha 90.00
_cell_angle_beta 90.00
_cell_angle_gamma 90.00
loop_
_atom_site_label
_atom_site_fract_x
_atom_site_fract_y
_atom_site_fract_z
Zr1 0.000 0.500 0.000
Bi1 0.000 0.000 0.500
Os1 0.500 0.500 0.000
Cl1 0.500 0.500 0.500
```

Summary:
As for the raw formation energy: 0.2756 eV/atom. As for the uncorrected energy: -7.062 eV/atom.


A plane-wave DFT calculation with PBEsol was carried out for a relaxed structure of BiSbPCl2.

Geometry as CIF:
```
data_BiSbPCl2
_space_group_name_H-M_alt 'P 4/m m m'
_space_group_IT_number 123
_space_group_name_Hall '-P 4 2'
_cell_length_a 5.144
_cell_length_b 5.144
_cell_length_c 5.677
_cell_angle_alpha 90.00
_cell_angle_beta 90.00
_cell_angle_gamma 90.00
loop_
_atom_site_label
_atom_site_fract_x
_atom_site_fract_y
_atom_site_fract_z
Bi1 0.000 0.000 0.000
Sb1 0.500 0.500 0.500
P1 0.000 0.000 0.500
Cl1 0.000 0.500 0.000
```

Summary:
As for the raw formation energy: 0.3149 eV/atom. As for the uncorrected energy: -3.415 eV/atom.


A plane-wave DFT calculation with PBEsol was carried out for a relaxed structure of ScBiP2Cl.

Geometry as CIF:
```
data_ScBiP2Cl
_space_group_name_H-M_alt 'P 4/m m m'
_space_group_IT_number 123
_space_group_name_Hall '-P 4 2'
_cell_length_a 5.026
_cell_length_b 5.026
_cell_length_c 4.656
_cell_angle_alpha 90.00
_cell_angle_beta 90.00
_cell_angle_gamma 90.00
loop_
_atom_site_label
_atom_site_fract_x
_atom_site_fract_y
_atom_site_fract_z
Sc1 0.000 0.000 0.000
Bi1 0.500 0.500 0.500
P1 0.000 0.500 0.000
Cl1 0.000 0.000 0.500
```

Summary:
As for the raw formation energy: -0.2049 eV/atom. As for the uncorrected energy: -5.101 eV/atom.


A plane-wave DFT calculation with PBEsol was carried out for a relaxed structure of BiPbCl2.

Geometry as CIF:
```
data_BiPbCl2
_space_group_name_H-M_alt 'R -3 m'
_space_group_IT_number 166
_space_group_name_Hall '-R 3 2"'
_cell_length_a 3.4470
_cell_length_b 3.4470
_cell_length_c 30.6590
_cell_angle_alpha 90.00
_cell_angle_beta 90.00
_cell_angle_gamma 120.00
loop_
_atom_site_label
_atom_site_fract_x
_atom_site_fract_y
_atom_site_fract_z
Bi1 0.0000 0.0000 0.0000
Pb1 0.0000 0.0000 0.5000
Cl1 0.0000 0.0000 0.4085
```

Summary:
As for the raw formation energy: -0.4994 eV/atom. As for the uncorrected energy: -3.574 eV/atom.


Number 1: volume 19.1 Å³ per atom. Number 2: volume 21.9 Å³ per atom. Number 3: volume 19.6 Å³ per atom. Number 4: volume 14.8 Å³ per atom. Number 5: volume 15.4 Å³ per atom. Number 6: volume 15.0 Å³ per atom. Number 7: volume 25.3 Å³ per atom. Number 8: volume 17.5 Å³ per atom. Number 9: volume 23.5 Å³ per atom. Number 10: volume 30.0 Å³ per atom. Number 11: volume 23.5 Å³ per atom. Number 12: volume 26.3 Å³ per atom.